Record 1
DFT (GGA-PBE) results for crystalline MgScBr at its relaxed geometry.

The polymorph energy (0 for the lowest one) comes out at 0.37 eV per formula unit. Its crystal system is orthorhombic. Its uncorrected formation energy is -0.47 eV/atom. For the size of the total moment, the calculation gives 0.0 μB/f.u. Its density of states at the Fermi level is 0.925 states/eV/atom. Its total energy is -3.67 eV per atom.

The structure belongs to space group Fmm2 (No. 42); the cell edges are 3.720, 5.640 and 14.456 Å and the angles 90.00°, 90.00° and 90.00°. The asymmetric unit holds Mg at (0.000, 0.000, 0.000), Sc at (0.000, 0.000, 0.664) and Br at (0.000, 0.000, 0.304).



Record 2
DFT (GGA-PBE) results for crystalline MgSc2Br6 at its relaxed geometry.

Its crystal system is monoclinic. Its uncorrected formation energy is -1.51 eV/atom. For the size of the total moment, the calculation gives 2.0 μB/f.u. Its density of states at the Fermi level is 0.146 states/eV/atom. Its total energy is -4.21 eV per atom.

The structure belongs to space group C2/m (No. 12); the cell edges are 15.413, 3.796 and 10.381 Å and the angles 90.00°, 115.37° and 90.00°. The asymmetric unit holds Mg at (0.000, 0.000, 0.000), Sc at (0.182, 0.500, 0.360), Br at (0.037, 0.000, 0.280), Br at (0.134, 0.500, 0.061) and Br at (0.184, 0.500, 0.624).



Record 3
DFT (GGA-PBE) results for crystalline MgScBr4 at its relaxed geometry.

The polymorph energy (0 for the lowest one) comes out at 10.17 eV per formula unit. Its crystal system is cubic. Its uncorrected formation energy is 0.23 eV/atom. For the size of the total moment, the calculation gives 0.8 μB/f.u. Its density of states at the Fermi level is 1.409 states/eV/atom. Its total energy is -2.21 eV per atom.

The structure belongs to space group F-43m (No. 216); the cell edges are 8.890, 8.890 and 8.890 Å and the angles 90.00°, 90.00° and 90.00°. The asymmetric unit holds Mg at (0.000, 0.000, 0.000), Sc at (0.250, 0.250, 0.750) and Br at (0.125, 0.125, 0.375).